The following is a PBEsol calculation of a geometry-optimized DyGeAu structure, from the Alexandria database.

Cell: 4.4084 4.4084 7.1676 Å, 90.00 90.00 120.00°
Space group P6_3mc (No. 186)
Asymmetric unit:
Dy 0.0000 0.0000 0.0000 x2
Ge 0.3333 0.6667 0.2918 x2
Au 0.3333 0.6667 0.7094 x2

## Properties
Its crystal system is hexagonal. Its uncorrected energy is -0.40466 Ry/atom. The density of states at the Fermi level is 0.32 states/eV/f.u.

---

The following is a PBEsol calculation of a geometry-optimized DyInAu2 structure, from the Alexandria database.

Cell: 6.859 6.859 6.859 Å, 90.00 90.00 90.00°
Space group Fm-3m (No. 225)
Asymmetric unit:
Dy 0.000 0.000 0.000 x4
In 0.000 0.000 0.500 x4
Au 0.250 0.250 0.250 x8

## Properties
Its crystal system is cubic. Its uncorrected energy is -0.34470 Ry/atom. The density of states at the Fermi level is 1.63 states/eV/f.u.

---

Calculated values (Mg/m³) of mass density for the records, taken in order: 11.896; 13.814.